Computed, not measured: Au2SeF at its PBEsol-relaxed geometry at the SCAN level of DFT.

a = 4.4829 Å, b = 4.4829 Å, c = 8.0724 Å
α = 106.12°, β = 106.12°, γ = 90.00°
Atoms (fractional coordinates):
Au1 0.4037 0.8750 0.2500
Au2 0.8463 0.3750 0.2500
Au3 0.1250 0.1537 0.7500
Au4 0.6250 0.5963 0.7500
Se1 0.2500 0.7500 0.5000
Se2 0.0000 0.0000 0.0000
F1 0.7500 0.2500 0.5000
F2 0.5000 0.5000 0.0000

Values from the calculation:
As for the crystal system: tetragonal. The calculation puts the total energy at -2.985 Ry/atom. The calculation puts the formation energy without anion corrections at -48 kJ/mol of formula units. The density of states at the Fermi level is 5.43 states/eV per cell. Its space group is I-42d, No. 122.